# 1
Sr2MnPd2: optimized geometry, PBE.

```
Sr2MnPd2
1.0
7.320 0.000 0.000
0.000 7.320 0.000
0.000 0.000 4.625
Sr Mn Pd
4 2 4
Direct
0.174 0.674 0.500
0.674 0.826 0.500
0.826 0.326 0.500
0.326 0.174 0.500
0.000 0.000 0.000
0.500 0.500 0.000
0.364 0.864 0.000
0.864 0.636 0.000
0.636 0.136 0.000
0.136 0.364 0.000
```

Values from the calculation:
SG	P4/mbm
V	24.78	Å³/atom
theoretical density	5.9	g/cm3
E_tot	-4.84	eV per atom
DFT formation energy	-0.259	eV per atom

---

# 2
K7Rb4Na: optimized geometry, PBE.

```
K7Rb4Na
1.0
-0.997 4.308 1.792
-2.150 -1.478 -3.995
-33.718 -18.144 24.853
K Rb Na
7 4 1
Direct
0.000 0.000 0.000
0.667 0.333 0.568
0.333 0.667 0.432
0.667 0.333 0.826
0.333 0.667 0.174
0.000 0.000 0.257
0.000 0.000 0.743
0.667 0.333 0.087
0.333 0.667 0.913
0.667 0.333 0.344
0.333 0.667 0.656
0.000 0.000 0.500
```

Values from the calculation:
SG	P-3m1
V	75.00	Å³/atom
theoretical density	1.2	g/cm3
E_tot	-1.05	eV per atom
DFT formation energy	0.019	eV per atom

---

Q: Which formula does entry 1 have?
A: Sr2MnPd2

---

Please write out number 1 again, unchanged.
Sr2MnPd2: optimized geometry, PBE.

```
Sr2MnPd2
1.0
7.320 0.000 0.000
0.000 7.320 0.000
0.000 0.000 4.625
Sr Mn Pd
4 2 4
Direct
0.174 0.674 0.500
0.674 0.826 0.500
0.826 0.326 0.500
0.326 0.174 0.500
0.000 0.000 0.000
0.500 0.500 0.000
0.364 0.864 0.000
0.864 0.636 0.000
0.636 0.136 0.000
0.136 0.364 0.000
```

Values from the calculation:
SG	P4/mbm
V	24.78	Å³/atom
theoretical density	5.9	g/cm3
E_tot	-4.84	eV per atom
DFT formation energy	-0.259	eV per atom

---

Q: Which value of E_tot does entry 2 give?
A: -1.05 eV per atom

---

Q: Number 1 is which compound?
A: Sr2MnPd2